A plane-wave DFT calculation with PBE-GGA was carried out for a geometry-optimized Rb2MnVCl6 structure.

Unit cell a=7.1305 b=7.1243 c=10.0948 alpha=90.00 beta=90.01 gamma=90.00
Last column: nearest neighbours and their distance in Å.
Element x y z (fractional)
Cl  0.0121  0.5004  0.7490  1 V 2.52, 1 Mn 2.54
V  0.5000  0.0000  0.0000  6 Cl 2.51-2.52
Cl  0.2595  0.7387  0.4939  1 V 2.51, 1 Mn 2.53
Cl  0.2405  0.2387  0.0061  1 V 2.51, 1 Mn 2.53
V  0.0000  0.5000  0.5000  6 Cl 2.51-2.52
Cl  0.2612  0.7405  0.0060  1 V 2.51, 1 Mn 2.53
Cl  0.7405  0.2613  0.5061  1 V 2.51, 1 Mn 2.53
Rb  0.0003  0.9973  0.2500  12 Cl 3.46-3.69
Cl  0.9879  0.4996  0.2510  1 V 2.52, 1 Mn 2.54
Cl  0.7595  0.7613  0.9939  1 V 2.51, 1 Mn 2.53
Rb  0.5003  0.5027  0.7500  12 Cl 3.46-3.69
Cl  0.4879  0.0004  0.7510  1 V 2.52, 1 Mn 2.54
Cl  0.5121  0.9996  0.2490  1 V 2.52, 1 Mn 2.54
Cl  0.2388  0.2405  0.4940  1 V 2.51, 1 Mn 2.53
Cl  0.7388  0.2595  0.9940  1 V 2.51, 1 Mn 2.53
Cl  0.7612  0.7595  0.5060  1 V 2.51, 1 Mn 2.53
Rb  0.4997  0.4973  0.2500  12 Cl 3.46-3.69
Mn  0.0000  0.5000  0.0000  6 Cl 2.53-2.54
Rb  0.9997  0.0027  0.7500  12 Cl 3.46-3.69
Mn  0.5000  0.0000  0.5000  6 Cl 2.53-2.54

Calculated values
For the total magnetic moment, the calculation gives 0.800 μB/atom. The symmetry is P2_1/c (14). The excess energy over the best structure of this formula in the dataset is 0.0 meV per atom. For the formation energy without anion corrections, the calculation gives -1.451 eV/atom.



A plane-wave DFT calculation with PBE-GGA was carried out for a geometry-optimized RbMnV2Cl8 structure.

Unit cell a=6.3777 b=6.1264 c=7.7796 alpha=89.92 beta=89.91 gamma=84.67
Last column: nearest neighbours and their distance in Å.
Element x y z (fractional)
V  0.5002  0.5001  0.7587  6 Cl 2.42-2.51
Cl  0.8246  0.2649  0.2093  1 V 2.42, 1 Mn 2.49
Rb  0.0000  0.0000  0.5000  6 Cl 2.94-3.18
Cl  0.8254  0.2659  0.7904  1 V 2.42, 1 Mn 2.49
Mn  0.0000  0.0000  0.0000  4 Cl 2.49
Cl  0.3817  0.2999  0.5006  2 V 2.51
V  0.4998  0.4999  0.2413  6 Cl 2.42-2.51
Cl  0.6183  0.7001  0.4994  2 V 2.51
Cl  0.1746  0.7341  0.2096  1 V 2.42, 1 Mn 2.49
Cl  0.1754  0.7351  0.7907  1 V 2.42, 1 Mn 2.49
Cl  0.6379  0.7184  0.9998  2 V 2.51
Cl  0.3621  0.2816  0.0002  2 V 2.51

Calculated values
For the total magnetic moment, the calculation gives 0.000 μB/atom. The symmetry is P-1 (2). For the formation energy without anion corrections, the calculation gives -1.183 eV/atom.



> formation energy without anion corrections of number 1 (Rb2MnVCl6)?

-1.451 eV/atom